No. 1
Density functional theory data (PBE) for an optimized crystal structure of AcPb4.

Cell and atoms, written as POSCAR:
```
AcPb4
1.0
-0.798 1.429 6.032
4.907 -3.571 1.495
3.789 4.927 -0.666
Ac Pb
1 4
Direct
0.500 0.500 0.500
0.000 0.500 0.500
0.500 0.000 0.500
0.500 0.500 0.000
0.000 0.000 0.000
```

Summary:
As for the crystal system: cubic. The calculation puts the total magnetization at 0.000 μB/f.u.

=====

No. 2
Density functional theory data (PBE) for an optimized crystal structure of Nd2YCu3.

Cell and atoms, written as POSCAR:
```
Nd2YCu3
1.0
3.543 0.000 0.000
0.000 3.543 0.000
0.000 0.000 10.735
Y Nd Cu
1 2 3
Direct
0.500 0.500 0.500
0.500 0.500 0.170
0.500 0.500 0.830
0.000 0.000 0.000
0.000 0.000 0.655
0.000 0.000 0.345
```

Summary:
As for the crystal system: tetragonal. The calculation puts the total magnetization at 0.000 μB/f.u.

=====

no.,ΔH_f (0 K) (eV/atom),E above lowest polymorph (eV/f.u.)
1,0.707,4.85
2,-0.176,0.00